No. 1
Material: TaRhSN2
Method: DFT, PBE-GGA
State: relaxed

```
5
Lattice="-0.897 -1.127 3.373 5.456 0.617 1.657 -0.688 3.467 0.976" Properties=species:S:1:pos:R:3 pbc="T T T"
Rh 0.000 0.000 0.000
N -0.448 -0.563 1.686
N -0.344 1.734 0.488
S 1.935 1.479 3.003
Ta 2.728 0.309 0.828
```

Calculated values
The value obtained for the density is 7.40 g/cm³. The calculation puts the relative energy among the computed polymorphs at 189 kJ/mol of formula units. Its formation energy (no corrections) is 89.9 kJ per mole of atoms. The value obtained for the total magnetic moment is 0.00 μB/f.u.

No. 2
Material: SrLi6Ni6
Method: DFT, PBE-GGA
State: relaxed

```
13
Lattice="-1.633 1.227 4.437 -2.153 -5.237 3.344 4.813 -0.074 4.480" Properties=species:S:1:pos:R:3 pbc="T T T"
Ni -1.077 -2.618 1.672
Ni 2.407 -0.037 2.240
Ni -1.893 -2.005 3.891
Ni 2.335 -0.693 6.427
Ni 1.590 0.577 4.458
Ni -1.307 -3.391 5.834
Li -0.099 -1.109 5.647
Li 1.127 -2.975 6.614
Li 0.953 -3.341 9.340
Li 0.074 -0.743 2.921
Li 0.237 -3.465 3.734
Li 2.423 -1.845 4.090
Sr 0.000 0.000 0.000
```

Calculated values
The value obtained for the density is 4.39 g/cm³. As for the formation energy: -55 kJ/mol of formula units. The value obtained for the total magnetic moment is 0.00 μB/f.u.

No. 3
Material: ZrZn2I
Method: DFT, PBE-GGA
State: relaxed

```
4
Lattice="0.000 3.549 3.549 3.549 0.000 3.549 3.549 3.549 0.000" Properties=species:S:1:pos:R:3 pbc="T T T"
Zr 0.000 0.000 0.000
Zn 1.774 1.774 1.774
Zn 5.323 5.323 5.323
I 3.549 3.549 3.549
```

Calculated values
The value obtained for the density is 6.48 g/cm³. The calculation puts the relative energy among the computed polymorphs at 117 kJ/mol of formula units. Its formation energy (no corrections) is 55.7 kJ per mole of atoms. The value obtained for the total magnetic moment is 0.00 μB/f.u.

No. 4
Material: BaZnHg2
Method: DFT, PBE-GGA
State: relaxed

```
4
Lattice="-0.150 -3.864 4.234 0.063 -4.807 -3.126 3.667 4.401 0.251" Properties=species:S:1:pos:R:3 pbc="T T T"
Zn -0.048 -4.719 0.603
Ba 1.842 -2.456 -1.150
Hg 1.739 -1.634 2.486
Hg -0.086 -8.465 1.082
```

Calculated values
The value obtained for the density is 8.48 g/cm³. As for the formation energy: -102 kJ/mol of formula units. The value obtained for the total magnetic moment is 0.00 μB/f.u.

No. 5
Material: Sc5Bi4Te
Method: DFT, PBE-GGA
State: relaxed

```
10
Lattice="-1.730 -4.926 2.974 5.510 -4.532 1.768 -0.072 0.773 7.309" Properties=species:S:1:pos:R:3 pbc="T T T"
Bi 1.450 -3.168 7.746
Bi 2.979 -7.105 8.184
Bi 0.726 -1.588 3.872
Bi 2.255 -5.525 4.311
Sc 0.593 -5.631 9.237
Sc 3.848 -4.647 6.691
Sc -0.868 -2.473 1.493
Sc 3.112 -3.062 2.818
Sc -0.143 -4.046 5.365
Te -0.003 -0.009 0.005
```

Calculated values
The value obtained for the density is 7.30 g/cm³. Its formation energy (no corrections) is -74.1 kJ per mole of atoms. The value obtained for the total magnetic moment is 0.00 μB/f.u.

No. 6
Material: KZnHg2
Method: DFT, PBE-GGA
State: relaxed

```
4
Lattice="4.824 0.000 0.000 2.412 4.178 0.000 2.412 1.393 6.058" Properties=species:S:1:pos:R:3 pbc="T T T"
Zn 7.236 4.178 5.692
K 4.824 2.785 3.155
Hg 2.412 1.393 0.796
Hg 2.412 1.393 5.500
```

Calculated values
The value obtained for the density is 6.88 g/cm³. As for the formation energy: -33 kJ/mol of formula units. The value obtained for the total magnetic moment is 0.00 μB/f.u.

No. 7
Material: ReS2NCl
Method: DFT, PBE-GGA
State: relaxed

```
5
Lattice="-2.240 -0.153 3.956 2.492 -3.587 1.272 3.438 3.122 2.067" Properties=species:S:1:pos:R:3 pbc="T T T"
S 1.246 -1.793 0.636
S -1.120 -0.077 1.978
Re 0.000 0.000 0.000
N 1.845 -0.309 3.648
Cl 1.719 1.561 1.034
```

Calculated values
The value obtained for the density is 4.73 g/cm³. The calculation puts the relative energy among the computed polymorphs at 319 kJ/mol of formula units. Its formation energy (no corrections) is 107.4 kJ per mole of atoms. The value obtained for the total magnetic moment is 2.29 μB/f.u.

No. 8
Material: Sc4Bi2TeAs
Method: DFT, PBE-GGA
State: relaxed

```
8
Lattice="-1.938 2.638 2.507 -5.193 0.812 -4.868 -1.712 -5.439 4.399" Properties=species:S:1:pos:R:3 pbc="T T T"
Te -3.565 1.725 -1.180
Bi -3.452 -2.313 -0.235
Bi -1.825 -1.400 3.453
Sc -4.367 -0.673 -2.667
Sc -6.296 -2.251 0.892
Sc -2.547 0.262 1.146
Sc -2.538 -3.954 2.198
As 0.000 0.000 0.000
```

Calculated values
The value obtained for the density is 6.61 g/cm³. Its formation energy (no corrections) is -92.0 kJ per mole of atoms. The value obtained for the total magnetic moment is 0.00 μB/f.u.

No. 9
Material: Tl3InH8
Method: DFT, PBE-GGA
State: relaxed

```
12
Lattice="-7.747 2.088 0.504 2.423 2.341 4.713 -3.483 6.929 0.326" Properties=species:S:1:pos:R:3 pbc="T T T"
H -9.943 6.878 0.717
H -4.007 4.346 2.738
H -3.487 3.800 2.674
H -2.791 5.256 0.257
H -1.877 6.767 2.624
H -4.922 2.698 0.343
H -4.272 2.312 0.297
H -1.354 6.220 2.606
Tl -6.243 7.360 2.914
Tl -0.628 2.852 2.493
Tl -6.337 5.199 0.470
In -0.890 0.835 0.068
```

Calculated values
The value obtained for the density is 5.46 g/cm³. The energy is -2.96 eV per atom. The value obtained for the total magnetic moment is 0.00 μB/f.u.

No. 10
Material: Li5AlZn
Method: DFT, PBE-GGA
State: relaxed

```
7
Lattice="-3.287 -0.005 3.604 0.985 -3.757 2.950 3.438 3.367 3.140" Properties=species:S:1:pos:R:3 pbc="T T T"
Li -1.965 -1.071 5.837
Li 3.101 0.676 3.857
Li 0.171 -2.947 5.510
Li 0.965 2.552 4.184
Li 1.719 1.684 1.570
Al 0.000 0.000 0.000
Zn 0.568 -0.197 4.847
```

Calculated values
The value obtained for the density is 1.62 g/cm³. The calculation puts the relative energy among the computed polymorphs at 43 kJ/mol of formula units. As for the formation energy: 11 kJ/mol of formula units. The value obtained for the total magnetic moment is 0.00 μB/f.u.

No. 11
Material: Ce2PaTc
Method: DFT, PBE-GGA
State: relaxed

```
4
Lattice="-1.262 1.561 2.388 -3.082 -0.102 0.476 -0.212 -7.982 7.144" Properties=species:S:1:pos:R:3 pbc="T T T"
Tc -2.278 -3.261 5.004
Ce -0.565 -5.567 5.379
Ce -3.991 -0.956 4.629
Pa 0.000 0.000 0.000
```

Calculated values
The value obtained for the density is 11.36 g/cm³. The calculation puts the relative energy among the computed polymorphs at 111 kJ/mol of formula units. As for the formation energy: 82 kJ/mol of formula units. The value obtained for the total magnetic moment is 0.00 μB/f.u.

No. 12
Material: HfMnGa3
Method: DFT, PBE-GGA
State: relaxed

```
5
Lattice="4.464 0.000 0.000 0.000 4.464 0.000 0.000 0.000 4.464" Properties=species:S:1:pos:R:3 pbc="T T T"
Ga 0.000 0.000 2.232
Ga 2.232 0.000 0.000
Ga 0.000 2.232 0.000
Mn 0.000 0.000 0.000
Hf 2.232 2.232 2.232
```

Calculated values
The value obtained for the density is 8.26 g/cm³. The calculation puts the relative energy among the computed polymorphs at 182 kJ/mol of formula units. As for the formation energy: 130 kJ/mol of formula units. The value obtained for the total magnetic moment is 0.00 μB/f.u.